! GGA+U TaCr2PbO8, optimized geometry; values from VASP
! Space group: Cmmm (65)
! E_tot, Ry per atom: -0.5616
! Total magnetization, μB per formula unit: 4.999
&SYSTEM
  ibrav = 0, nat = 12, ntyp = 4
/
ATOMIC_SPECIES
Ta 180.95 Ta.upf
Cr 52.00 Cr.upf
Pb 207.20 Pb.upf
O 16.00 O.upf
ATOMIC_POSITIONS angstrom
Ta 0.0000 0.0000 0.0000
Cr 3.3191 0.0000 1.5490
Cr 3.3191 0.0000 4.8166
Pb 0.0000 0.0000 3.1828
O 3.3191 1.9886 1.4395
O 3.3191 1.9886 4.9260
O 2.0381 0.0000 0.0000
O 2.1339 0.0000 3.1828
O 4.5044 0.0000 3.1828
O 4.6002 0.0000 0.0000
O 3.3191 -1.9886 1.4395
O 3.3191 -1.9886 4.9260
CELL_PARAMETERS angstrom
3.3191 -3.3566 0.0000
3.3191 3.3566 0.0000
0.0000 0.0000 6.3655